## KCr2Ir (GGA-PBE)

Data for an optimized crystal structure of KCr2Ir.

E above lowest polymorph = 356 meV/atom
calculated density = 8407 kg/m³
final energy = -25.5 eV per cell
total moment = 0.0 μB/f.u.
formation energy from the elements = 931 meV per atom
space-group type = R-3m

Cell: 10.3789 10.3789 10.3789 Å, 15.12 15.12 15.12°
Fractional positions:
Cr 0.9841 0.9841 0.9841
Cr 0.5159 0.5159 0.5159
Ir 0.2500 0.2500 0.2500
K 0.7500 0.7500 0.7500